1.
This record from Alexandria via LeMat-Bulk describes a relaxed structure of GaFe3Te. The functional is PBE.

Its symmetry is Pm-3m (221). The formation energy without anion corrections comes out at 1.0840 eV per atom. The calculation puts the mass density at 5.68 g/cm³. The volume comes out at 106.70 Å³ per cell. Its electronic total energy is -26.1 eV/cell.

a b c (Å): 4.743 4.743 4.743
angles (deg): 90.00 90.00 90.00
Atoms (fractional coordinates):
Ga1 0.000 0.000 0.000
Fe1 0.000 0.500 0.500
Fe2 0.500 0.000 0.500
Fe3 0.500 0.500 0.000
Te1 0.500 0.500 0.500



2.
This record from Alexandria via LeMat-Bulk describes a relaxed structure of GaFe3Te. The functional is PBE.

Its symmetry is Pm-3m (221). The formation energy without anion corrections comes out at 0.8662 eV per atom. The calculation puts the mass density at 6.53 g/cm³. The volume comes out at 92.73 Å³ per cell. Its electronic total energy is -27.2 eV/cell.

a b c (Å): 4.526 4.526 4.526
angles (deg): 90.00 90.00 90.00
Atoms (fractional coordinates):
Ga1 0.000 0.000 0.000
Fe1 0.000 0.000 0.500
Fe2 0.000 0.500 0.000
Fe3 0.500 0.000 0.000
Te1 0.500 0.500 0.500